The following is a DFT calculation (GGA-PBEsol) of a relaxed CoH20PtC4N4O12 crystal.

- SG = No. 23
- crystal system = orthorhombic
- total DFT energy (no corrections) (eV/atom) = -5.984

Cell: 7.0419 7.0555 8.9965 Å, 113.09 113.04 90.00°
Last column: magnetic moment on the atom in μB.
Sites, in units of the cell vectors:
H: 0.4421 0.0858 0.8884  0.00
H: 0.1818 0.3041 0.3140  0.00
H: 0.0213 0.1920 0.8061  0.00
H: 0.0298 0.6123 0.8277  0.00
H: 0.5708 0.1915 0.3693  0.00
N: 0.0903 0.8870 0.1892  0.00
H: 0.7979 0.2155 0.8277  0.00
H: 0.8182 0.9901 0.6860  0.00
H: 0.9702 0.7845 0.1723  0.00
N: 0.0989 0.3022 0.1892  0.00
H: 0.7848 0.6141 0.8061  0.00
O: 0.5685 0.7791 0.5162  0.00
H: 0.1322 0.0099 0.3140  0.00
O: 0.4168 0.6127 0.2145  0.05
H: 0.2152 0.8080 0.1939  0.00
N: 0.9097 0.6978 0.8108  0.00
H: 0.5579 0.1975 0.1116  0.00
C: 0.2067 0.3090 0.6329  0.00
Co: 0.5000 0.5000 0.0000  2.60
Pt: 0.0000 0.0000 0.0000  0.00
O: 0.3558 0.8558 0.7117  0.00
O: 0.9477 0.7370 0.5162  0.00
O: 0.2023 0.3873 0.7855  0.05
O: 0.0523 0.2209 0.4838  0.00
C: 0.5738 0.6910 0.3671  0.00
H: 0.5537 0.9142 0.1116  0.00
H: 0.2016 0.8085 0.6307  0.00
H: 0.7984 0.1778 0.3693  0.00
C: 0.4262 0.3238 0.6329  0.00
O: 0.6442 0.1442 0.2883  0.00
O: 0.4315 0.2630 0.4838  0.00
H: 0.4463 0.8025 0.8884  0.00
O: 0.7977 0.6018 0.2145  0.05
O: 0.5000 0.2210 0.0000  0.06
H: 0.2021 0.3877 0.1723  0.00
H: 0.8678 0.6959 0.6860  0.00
N: 0.9011 0.1130 0.8108  0.00
C: 0.7933 0.6762 0.3671  0.00
O: 0.5832 0.3982 0.7855  0.05
O: 0.5000 0.7790 0.0000  0.06
H: 0.9787 0.3859 0.1939  0.00
H: 0.4292 0.8222 0.6307  0.00

***

The following is a DFT calculation (GGA-PBEsol) of a relaxed NaCoH2C3O7 crystal.

- SG = No. 14
- crystal system = monoclinic
- total DFT energy (no corrections) (eV/atom) = -6.971

Cell: 5.8327 7.0633 15.3964 Å, 90.00 90.00 101.38°
Last column: magnetic moment on the atom in μB.
Sites, in units of the cell vectors:
O: 0.9119 0.8226 0.8441  0.05
H: 0.5455 0.3597 0.3764  0.00
Co: 0.2184 0.2900 0.6000  2.61
Co: 0.7816 0.2100 0.1000  2.61
H: 0.4545 0.6403 0.6236  0.00
Na: 0.0264 0.6870 0.6794  0.00
H: 0.3417 0.1341 0.9744  0.00
C: 0.6921 0.7869 0.8530  0.00
Na: 0.9736 0.8130 0.1794  0.00
Na: 0.9736 0.3130 0.3206  0.00
H: 0.4545 0.1403 0.8764  0.00
O: 0.0881 0.1774 0.1559  0.05
O: 0.6388 0.7040 0.7012  0.01
O: 0.8895 0.2564 0.9760  0.07
O: 0.6875 0.9143 0.0865  0.05
O: 0.0955 0.4932 0.8929  0.06
O: 0.6388 0.2040 0.7988  0.01
C: 0.3079 0.7131 0.3530  0.00
C: 0.9956 0.4290 0.9628  -0.01
C: 0.5457 0.7508 0.7695  0.00
O: 0.8895 0.7564 0.5240  0.07
C: 0.4543 0.7492 0.2695  0.00
C: 0.0044 0.0710 0.4628  -0.01
O: 0.3125 0.5857 0.5865  0.05
O: 0.4245 0.2194 0.0769  0.06
O: 0.1105 0.2436 0.4760  0.07
O: 0.6875 0.4143 0.4135  0.05
Co: 0.2184 0.7900 0.9000  2.61
O: 0.6654 0.7293 0.2770  0.06
C: 0.3079 0.2131 0.1470  0.00
O: 0.4245 0.7194 0.4231  0.06
O: 0.3612 0.7960 0.2012  0.01
H: 0.5455 0.8597 0.1236  0.00
C: 0.5457 0.2508 0.7305  0.00
Co: 0.7816 0.7100 0.4000  2.61
Na: 0.0264 0.1870 0.8206  0.00
O: 0.3346 0.7707 0.7770  0.06
O: 0.9045 0.5068 0.1071  0.06
C: 0.0044 0.5710 0.0372  -0.01
O: 0.3125 0.0857 0.9135  0.05
H: 0.3417 0.6341 0.5256  0.00
H: 0.6583 0.8659 0.0256  0.00
O: 0.0881 0.6774 0.3441  0.05
H: 0.6583 0.3659 0.4744  0.00
O: 0.3612 0.2960 0.2988  0.01
O: 0.5755 0.2806 0.5769  0.06
O: 0.1105 0.7436 0.0240  0.07
O: 0.6654 0.2293 0.2230  0.06
O: 0.0955 0.9932 0.6071  0.06
O: 0.9119 0.3226 0.6559  0.05
C: 0.9956 0.9290 0.5372  -0.01
C: 0.4543 0.2492 0.2305  0.00
C: 0.6921 0.2869 0.6470  0.00
O: 0.3346 0.2707 0.7230  0.06
O: 0.5755 0.7806 0.9231  0.06
O: 0.9045 0.0068 0.3929  0.06

***

The following is a DFT calculation (GGA-PBEsol) of a relaxed Na2CoH8C2O10 crystal.

- SG = No. 15
- crystal system = monoclinic
- total DFT energy (no corrections) (eV/atom) = -5.967

Cell: 5.5383 5.5383 14.1709 Å, 84.03 84.03 78.49°
Last column: magnetic moment on the atom in μB.
Sites, in units of the cell vectors:
C: 0.9684 0.4760 0.7863  0.00
H: 0.7540 0.8751 0.4363  0.00
H: 0.7443 0.3504 0.1290  0.00
Co: 0.9632 0.0368 0.7500  2.55
H: 0.3504 0.7443 0.6290  0.00
Na: 0.5941 0.2439 0.9414  0.00
O: 0.9514 0.4465 0.6990  0.05
H: 0.2119 0.1041 0.4535  0.00
O: 0.5898 0.3489 0.0992  0.00
O: 0.0486 0.5535 0.3010  0.05
H: 0.5289 0.2034 0.1339  0.00
O: 0.1645 0.2109 0.5073  0.00
O: 0.8355 0.7891 0.4927  0.00
O: 0.4465 0.9514 0.1990  0.05
O: 0.2109 0.1645 0.0073  0.00
Co: 0.0368 0.9632 0.2500  2.55
H: 0.6496 0.2557 0.3710  0.00
H: 0.8959 0.7881 0.0465  0.00
O: 0.9939 0.6827 0.8159  0.05
H: 0.7966 0.4711 0.3661  0.00
H: 0.2460 0.1249 0.5637  0.00
C: 0.0316 0.5240 0.2137  0.00
H: 0.2034 0.5289 0.6339  0.00
O: 0.4102 0.6511 0.9008  0.00
O: 0.3489 0.5898 0.5992  0.00
H: 0.4711 0.7966 0.8661  0.00
O: 0.9639 0.2816 0.8470  0.07
O: 0.0361 0.7184 0.1530  0.07
O: 0.6827 0.9939 0.3159  0.05
O: 0.0061 0.3173 0.1841  0.05
O: 0.2816 0.9639 0.3470  0.07
O: 0.7891 0.8355 0.9927  0.00
Na: 0.4059 0.7561 0.0586  0.00
C: 0.4760 0.9684 0.2863  0.00
O: 0.7184 0.0361 0.6530  0.07
Na: 0.2439 0.5941 0.4414  0.00
O: 0.6511 0.4102 0.4008  0.00
O: 0.5535 0.0486 0.8010  0.05
C: 0.5240 0.0316 0.7137  0.00
H: 0.2557 0.6496 0.8710  0.00
O: 0.3173 0.0061 0.6841  0.05
H: 0.7881 0.8959 0.5465  0.00
H: 0.1041 0.2119 0.9535  0.00
H: 0.1249 0.2460 0.0637  0.00
Na: 0.7561 0.4059 0.5586  0.00
H: 0.8751 0.7540 0.9363  0.00

***

The following is a DFT calculation (GGA-PBEsol) of a relaxed CoHCO4 crystal.

- SG = No. 176
- crystal system = hexagonal
- total DFT energy (no corrections) (eV/atom) = -7.060

Cell: 5.8226 9.5658 9.5658 Å, 120.00 90.00 90.00°
Sites, in units of the cell vectors:
C: 0.2500 0.2030 0.4282
H: 0.7500 0.4503 0.6561
O: 0.7500 0.4459 0.0957
H: 0.7500 0.3439 0.7941
O: 0.2500 0.5541 0.9043
O: 0.2500 0.8595 0.3941
O: 0.5549 0.8601 0.5803
C: 0.7500 0.4282 0.2252
O: 0.4451 0.5803 0.7202
O: 0.2500 0.3502 0.4459
C: 0.2500 0.2252 0.7970
O: 0.0549 0.2798 0.8601
Co: 0.5000 0.5000 0.0000
Co: 0.0000 0.5000 0.0000
Co: 0.5000 0.5000 0.5000
O: 0.7500 0.6498 0.5541
O: 0.4451 0.2798 0.8601
H: 0.7500 0.2059 0.5497
H: 0.2500 0.5497 0.3439
O: 0.7500 0.1405 0.6059
O: 0.2500 0.6059 0.4654
O: 0.7500 0.9043 0.3502
C: 0.7500 0.7970 0.5718
H: 0.2500 0.6561 0.2059
O: 0.0549 0.1399 0.4197
Co: 0.0000 0.0000 0.5000
Co: 0.0000 0.5000 0.5000
H: 0.2500 0.7941 0.4503
O: 0.2500 0.5346 0.1405
O: 0.5549 0.7202 0.1399
O: 0.7500 0.4654 0.8595
O: 0.5549 0.4197 0.2798
O: 0.9451 0.8601 0.5803
O: 0.9451 0.7202 0.1399
O: 0.0549 0.5803 0.7202
Co: 0.5000 0.0000 0.5000
C: 0.7500 0.7748 0.2030
O: 0.9451 0.4197 0.2798
O: 0.4451 0.1399 0.4197
C: 0.2500 0.5718 0.7748
O: 0.2500 0.0957 0.6498
O: 0.7500 0.3941 0.5346

***

The following is a DFT calculation (GGA-PBEsol) of a relaxed CoH8C2O10 crystal.

- SG = No. 14
- crystal system = monoclinic
- total DFT energy (no corrections) (eV/atom) = -6.131

Cell: 6.2254 5.9466 10.4245 Å, 81.24 90.00 90.00°
Last column: magnetic moment on the atom in μB.
Sites, in units of the cell vectors:
C: 0.6330 0.0926 0.1544  0.00
H: 0.1130 0.6679 0.1596  0.00
H: 0.4128 0.8087 0.6222  0.00
O: 0.8219 0.0014 0.1453  0.01
O: 0.6815 0.6845 0.3923  0.05
H: 0.0872 0.3087 0.1222  0.00
H: 0.5872 0.1913 0.3778  0.00
H: 0.3086 0.2364 0.0499  0.00
H: 0.9128 0.6913 0.8778  0.00
O: 0.9614 0.5497 0.7646  0.01
O: 0.8185 0.1845 0.8923  0.05
O: 0.4614 0.9503 0.7354  0.01
H: 0.6914 0.7636 0.9501  0.00
H: 0.8086 0.2636 0.4501  0.00
H: 0.1914 0.7364 0.5499  0.00
O: 0.0453 0.2810 0.4429  0.03
O: 0.1815 0.8155 0.1077  0.05
O: 0.6426 0.2424 0.4609  0.01
O: 0.8574 0.7424 0.9609  0.01
H: 0.8113 0.7221 0.4512  0.00
H: 0.6130 0.8321 0.3404  0.00
O: 0.3185 0.3155 0.6077  0.05
Co: 0.0000 0.0000 0.0000  0.74
C: 0.1330 0.4074 0.3456  0.00
O: 0.1781 0.9986 0.8547  0.01
O: 0.3219 0.4986 0.3547  0.01
O: 0.0386 0.4503 0.2354  0.01
O: 0.3574 0.7576 0.5391  0.01
H: 0.3870 0.1679 0.6596  0.00
C: 0.8670 0.5926 0.6544  0.00
Co: 0.5000 0.5000 0.5000  0.74
O: 0.5453 0.2190 0.0571  0.03
H: 0.1887 0.2779 0.5488  0.00
O: 0.1426 0.2576 0.0391  0.01
O: 0.4547 0.7810 0.9429  0.03
C: 0.3670 0.9074 0.8456  0.00
O: 0.9547 0.7190 0.5571  0.03
H: 0.3113 0.7779 0.0488  0.00
H: 0.6887 0.2221 0.9512  0.00
H: 0.8870 0.3321 0.8404  0.00
O: 0.5386 0.0497 0.2646  0.01
O: 0.6781 0.5014 0.6453  0.01

***

The following is a DFT calculation (GGA-PBEsol) of a relaxed Rb2CoH8C2O10 crystal.

- SG = No. 14
- crystal system = monoclinic
- total DFT energy (no corrections) (eV/atom) = -5.968

Cell: 6.3583 7.0697 11.0491 Å, 80.85 90.00 90.00°
Last column: magnetic moment on the atom in μB.
Sites, in units of the cell vectors:
C: 0.6518 0.5693 0.6830  0.00
H: 0.3449 0.6666 0.1289  0.00
H: 0.6551 0.3334 0.8711  0.00
O: 0.8053 0.4672 0.6534  0.05
O: 0.6947 0.9672 0.1533  0.05
H: 0.8897 0.1960 0.3796  0.00
H: 0.1755 0.2006 0.0870  0.00
O: 0.9284 0.0320 0.2924  0.01
C: 0.3482 0.4307 0.3170  0.00
H: 0.6102 0.6960 0.8796  0.00
O: 0.9257 0.2097 0.1047  0.00
Rb: 0.6461 0.0840 0.6749  0.00
O: 0.2897 0.7972 0.0894  0.05
Co: 0.5000 0.0000 0.0000  2.61
C: 0.8482 0.0693 0.1830  0.00
H: 0.8448 0.8334 0.3711  0.00
O: 0.1947 0.5328 0.3466  0.05
O: 0.3318 0.2114 0.0680  0.05
O: 0.7897 0.7028 0.4106  0.05
Rb: 0.3539 0.9160 0.3251  0.00
H: 0.1103 0.8040 0.6204  0.00
Co: 0.0000 0.5000 0.5000  2.61
Rb: 0.1461 0.4160 0.8252  0.00
H: 0.6755 0.2994 0.4129  0.00
O: 0.5743 0.7097 0.6048  0.00
O: 0.0716 0.9680 0.7076  0.01
O: 0.4284 0.4680 0.2076  0.01
O: 0.2103 0.2972 0.5894  0.05
Rb: 0.8539 0.5840 0.1748  0.00
H: 0.3245 0.7006 0.5871  0.00
O: 0.6682 0.7886 0.9320  0.05
O: 0.1682 0.7114 0.5680  0.05
O: 0.7103 0.2028 0.9106  0.05
O: 0.5716 0.5320 0.7924  0.01
O: 0.8318 0.2886 0.4320  0.05
H: 0.8245 0.7994 0.9130  0.00
H: 0.1995 0.7833 0.0140  0.00
O: 0.3053 0.0328 0.8467  0.05
C: 0.1518 0.9307 0.8170  0.00
H: 0.1552 0.1666 0.6289  0.00
H: 0.6995 0.7167 0.4860  0.00
H: 0.8005 0.2167 0.9860  0.00
H: 0.3898 0.3040 0.1204  0.00
O: 0.0743 0.7903 0.8953  0.00
H: 0.3005 0.2833 0.5140  0.00
O: 0.4257 0.2903 0.3952  0.00

***

The following is a DFT calculation (GGA-PBEsol) of a relaxed HfZrCoC2 crystal.

- energy relative to the elements (meV/atom) = 1480.6
- SG = No. 123
- crystal system = tetragonal

Cell: 4.1654 4.1654 4.3979 Å, 90.00 90.00 90.00°
Last column: magnetic moment on the atom in μB.
Sites, in units of the cell vectors:
C: 0.5000 0.0000 0.0000  0.07
Hf: 0.5000 0.5000 0.5000  -0.07
Zr: 0.0000 0.0000 0.0000  -0.04
C: 0.0000 0.5000 0.0000  0.07
Co: 0.0000 0.0000 0.5000  0.88

***

The following is a DFT calculation (GGA-PBEsol) of a relaxed Co3HgC crystal.

- energy relative to the elements (meV/atom) = 145.6
- SG = No. 221
- crystal system = cubic

Cell: 3.7999 3.7999 3.7999 Å, 90.00 90.00 90.00°
Last column: magnetic moment on the atom in μB.
Sites, in units of the cell vectors:
C: 0.0000 0.0000 0.0000  -0.03
Hg: 0.5000 0.5000 0.5000  -0.02
Co: 0.0000 0.5000 0.0000  0.39
Co: 0.5000 0.0000 0.0000  0.39
Co: 0.0000 0.0000 0.5000  0.39

***

| no. | total magnetization (μB/f.u.) |
| --- | --- |
| 1 | 3.00 |
| 2 | 3.00 |
| 3 | 3.00 |
| 4 | 0.00 |
| 5 | 1.02 |
| 6 | 3.00 |
| 7 | 1.01 |
| 8 | 1.07 |